No. 1
A relaxed NaErCdTe3 crystal. Source: the Open Quantum Materials Database, functional PBE.

Relative energy among the computed polymorphs, eV/f.u.: 0.02
Magnetization, μB per formula unit: 0.0
Density, g/cm3: 6.0
E_tot, hartree per atom: -0.1340

a = 4.3560 Å, b = 14.8761 Å, c = 11.6423 Å
α = 90.00°, β = 90.00°, γ = 90.00°
Space group Cmcm (No. 63)
Unique sites:
Na  0.0000  0.2318  0.2500
Er  0.0000  0.0000  0.0000
Cd  0.0000  0.4693  0.7500
Te  0.0000  0.0919  0.7500
Te  0.0000  0.3597  0.5543



No. 2
A relaxed SrPaAsO crystal. Source: the Open Quantum Materials Database, functional PBE.

Relative energy among the computed polymorphs, eV/f.u.: 0.02
Magnetization, μB per formula unit: 1.6
Density, g/cm3: 6.5
E_tot, hartree per atom: -0.2363

a = 4.2568 Å, b = 8.2926 Å, c = 5.9266 Å
α = 90.00°, β = 90.00°, γ = 90.00°
Space group Pmc2_1 (No. 26)
Unique sites:
Sr  0.0000  0.1001  0.0000
Pa  0.5000  0.3135  0.4387
As  0.5000  0.3421  0.9348
O  0.0000  0.2088  0.4128



No. 3
A relaxed FeCo3Si4 crystal. Source: the Open Quantum Materials Database, functional PBE.

Magnetization, μB per formula unit: 1.0
Density, g/cm3: 6.6
E_tot, hartree per atom: -0.2571

a = 6.2737 Å, b = 6.2737 Å, c = 7.6548 Å
α = 90.00°, β = 90.00°, γ = 120.00°
Space group R3 (No. 146, hexagonal axes)
Unique sites:
Fe  0.0000  0.0000  0.0000
Co  0.0231  0.7641  0.4784
Si  0.0000  0.0000  0.7021
Si  0.1067  0.3952  0.9093



No. 4
A relaxed RbAg3Te4Os crystal. Source: the Open Quantum Materials Database, functional PBE.

Magnetization, μB per formula unit: 0.0
Density, g/cm3: 5.7
E_tot, hartree per atom: -0.1351

a = 6.8819 Å, b = 6.8819 Å, c = 6.8819 Å
α = 90.00°, β = 90.00°, γ = 90.00°
Space group P-43m (No. 215)
Unique sites:
Rb  0.0000  0.0000  0.0000
Ag  0.0000  0.5000  0.5000
Te  0.2861  0.2861  0.2861
Os  0.5000  0.5000  0.5000



No. 5
A relaxed AcOsO3 crystal. Source: the Open Quantum Materials Database, functional PBE.

Magnetization, μB per formula unit: 0.5
Density, g/cm3: 11.6
E_tot, hartree per atom: -0.2913

a = 6.0910 Å, b = 7.9886 Å, c = 5.4634 Å
α = 90.00°, β = 90.00°, γ = 90.00°
Space group Pnma (No. 62)
Unique sites:
Ac  0.0654  0.2500  0.0212
Os  0.0000  0.0000  0.5000
O  0.0191  0.7500  0.4265
O  0.2002  0.5387  0.8139



No. 6
A relaxed Zr3CoB2 crystal. Source: the Open Quantum Materials Database, functional PBE.

Magnetization, μB per formula unit: 0.7
Density, g/cm3: 6.2
E_tot, hartree per atom: -0.2902

a = 3.4079 Å, b = 3.4079 Å, c = 18.8582 Å
α = 90.00°, β = 90.00°, γ = 120.00°
Space group P6_3/mmc (No. 194)
Unique sites:
Zr  0.0000  0.0000  0.0000
Zr  0.3333  0.6667  0.1509
Co  0.0000  0.0000  0.2500
B  0.3333  0.6667  0.5772